(1)
Computed, not measured: MgTaIr2Rh after structural relaxation at the PBE level of DFT.

Lattice parameters (Å, degrees): 4.4368 4.4368 4.3283 90.00 90.00 90.00
Fractional coordinates of all 5 atoms:
Mg 0.0000 0.0000 0.0000
Ta 0.5000 0.5000 0.5000
Ir 0.0000 0.5000 0.0000
Ir 0.5000 0.0000 0.0000
Rh 0.0000 0.0000 0.5000

ΔH_f (0 K) (eV/atom): 1.033
Space group: No. 123
Density (Mg/m³): 13.50
Magnetic moment (μB/atom): 0.000

(2)
Computed, not measured: K2LiPbF after structural relaxation at the PBE level of DFT.

Lattice parameters (Å, degrees): 6.4095 6.4095 3.6622 90.00 90.00 90.00
Fractional coordinates of all 5 atoms:
K 0.0000 0.5000 0.0000
K 0.5000 0.0000 0.0000
Li 0.0000 0.0000 0.5000
Pb 0.5000 0.5000 0.5000
F 0.0000 0.0000 0.0000

Space group: No. 123
Uncorrected formation energy (eV per formula unit): -5.3
Density (Mg/m³): 3.44
Magnetic moment (μB/atom): 0.000

(3)
Computed, not measured: YHo2Mg6 after structural relaxation at the PBE level of DFT.

Lattice parameters (Å, degrees): 9.0478 9.0478 3.2910 90.00 90.00 120.00
Fractional coordinates of all 9 atoms:
Y 0.0000 0.0000 0.0000
Ho 0.3333 0.6667 0.0000
Ho 0.6667 0.3333 0.0000
Mg 0.0000 0.3338 0.5000
Mg 0.0000 0.6662 0.5000
Mg 0.3338 0.0000 0.5000
Mg 0.3338 0.3338 0.5000
Mg 0.6662 0.0000 0.5000
Mg 0.6662 0.6662 0.5000

ΔH_f (0 K) (eV/atom): -0.070
Space group: No. 191
Density (Mg/m³): 4.02
Magnetic moment (μB/atom): 0.000